Material: TlIn7Hg12
Method: DFT, GGA-PBE
State: optimized geometry

```
data_TlIn7Hg12
_chemical_formula_sum 'Tl3 In21 Hg36'
_cell_length_a 12.4727
_cell_length_b 12.4727
_cell_length_c 13.0698
_cell_angle_alpha 90.00
_cell_angle_beta 90.00
_cell_angle_gamma 120.00
_space_group_name_H-M_alt 'R -3 m'
_space_group_IT_number 166
_space_group_name_Hall '-R 3 2"'
loop_
_atom_site_label
_atom_site_type_symbol
_atom_site_fract_x
_atom_site_fract_y
_atom_site_fract_z
Tl1 Tl 0.0000 0.0000 0.0000
In1 In 0.0000 0.0000 0.5000
In2 In 0.0972 0.1944 0.7926
Hg1 Hg 0.0353 0.5176 0.7405
Hg2 Hg 0.1094 0.2189 0.3816
```

## Properties
ρ: 9.66 g/cm3
offset from the most stable computed form: 0.0 meV per atom
formation enthalpy at 0 K: 70 meV/atom


Material: Tl3In2Hg
Method: DFT, GGA-PBE
State: optimized geometry

```
data_Tl3In2Hg
_chemical_formula_sum 'Tl6 In4 Hg2'
_cell_length_a 4.699
_cell_length_b 15.699
_cell_length_c 4.675
_cell_angle_alpha 90.00
_cell_angle_beta 90.00
_cell_angle_gamma 90.00
_space_group_name_H-M_alt 'C m m m'
_space_group_IT_number 65
_space_group_name_Hall '-C 2 2'
loop_
_atom_site_label
_atom_site_type_symbol
_atom_site_fract_x
_atom_site_fract_y
_atom_site_fract_z
Tl1 Tl 0.000 0.000 0.000
Tl2 Tl 0.000 0.334 0.000
In1 In 0.000 0.169 0.500
Hg1 Hg 0.000 0.500 0.500
```

## Properties
ρ: 10.05 g/cm3
formation enthalpy at 0 K: 23 meV/atom


Material: Tl3In12Hg
Method: DFT, GGA-PBE
State: optimized geometry

```
data_Tl3In12Hg
_chemical_formula_sum 'Tl3 In12 Hg1'
_cell_length_a 4.641
_cell_length_b 4.641
_cell_length_c 20.455
_cell_angle_alpha 90.00
_cell_angle_beta 90.00
_cell_angle_gamma 90.00
_space_group_name_H-M_alt 'P 4/m m m'
_space_group_IT_number 123
_space_group_name_Hall '-P 4 2'
loop_
_atom_site_label
_atom_site_type_symbol
_atom_site_fract_x
_atom_site_fract_y
_atom_site_fract_z
Tl1 Tl 0.000 0.000 0.000
Tl2 Tl 0.000 0.000 0.253
In1 In 0.000 0.500 0.127
In2 In 0.000 0.500 0.381
In3 In 0.500 0.500 0.000
In4 In 0.500 0.500 0.253
In5 In 0.500 0.500 0.500
Hg1 Hg 0.000 0.000 0.500
```

## Properties
ρ: 8.26 g/cm3
formation enthalpy at 0 K: 31 meV/atom


Material: TlInHg
Method: DFT, GGA-PBE
State: optimized geometry

```
data_TlInHg
_chemical_formula_sum 'Tl4 In4 Hg4'
_cell_length_a 6.496
_cell_length_b 5.426
_cell_length_c 9.624
_cell_angle_alpha 90.00
_cell_angle_beta 90.00
_cell_angle_gamma 90.00
_space_group_name_H-M_alt 'P n m a'
_space_group_IT_number 62
loop_
_space_group_symop_operation_xyz
'x,y,z'
'-x,-y,-z'
'-x+1/2,-y,z+1/2'
'x+1/2,y,-z+1/2'
'x+1/2,-y+1/2,-z+1/2'
'-x+1/2,y+1/2,z+1/2'
'-x,y+1/2,-z'
'x,-y+1/2,z'
loop_
_atom_site_label
_atom_site_type_symbol
_atom_site_fract_x
_atom_site_fract_y
_atom_site_fract_z
Tl1 Tl 0.157 0.250 0.063
In1 In 0.045 0.250 0.718
Hg1 Hg 0.162 0.250 0.397
```

## Properties
ρ: 10.18 g/cm3
formation enthalpy at 0 K: 16 meV/atom